# ZrCuRu2 meta-GGA SCAN single point on PBEsol structure
# Formation enthalpy at 0 K ... -0.117 eV/atom
# Volume ... 14.59 Å³ per atom
# DOS at the Fermi energy ... 3.32 states/eV per cell
# Raw total energy ... -29.004 eV per atom
data_ZrCuRu2
_chemical_formula_sum 'Zr1 Cu1 Ru2'
_cell_length_a 4.7947
_cell_length_b 4.7947
_cell_length_c 4.7947
_cell_angle_alpha 132.75
_cell_angle_beta 132.75
_cell_angle_gamma 69.05
_space_group_name_H-M_alt 'P 1'
_space_group_IT_number 1
loop_
_space_group_symop_operation_xyz
'x,y,z'
loop_
_atom_site_label
_atom_site_fract_x
_atom_site_fract_y
_atom_site_fract_z
Zr1 0.0000 0.0000 0.0000
Cu1 0.7500 0.2500 0.5000
Ru1 0.2500 0.7500 0.5000
Ru2 0.5000 0.5000 0.0000

=====

# RbTaAlHg2 meta-GGA SCAN single point on PBEsol structure
# Formation enthalpy at 0 K ... 2.075 eV/atom
# Volume ... 36.22 Å³ per atom
# DOS at the Fermi energy ... 6.05 states/eV per cell
# Raw total energy ... -44.206 eV per atom
data_RbTaAlHg2
_chemical_formula_sum 'Rb1 Ta1 Al1 Hg2'
_cell_length_a 5.6426
_cell_length_b 5.6426
_cell_length_c 5.6874
_cell_angle_alpha 90.00
_cell_angle_beta 90.00
_cell_angle_gamma 90.00
_space_group_name_H-M_alt 'P 1'
_space_group_IT_number 1
loop_
_space_group_symop_operation_xyz
'x,y,z'
loop_
_atom_site_label
_atom_site_fract_x
_atom_site_fract_y
_atom_site_fract_z
Rb1 0.0000 0.0000 0.0000
Ta1 0.5000 0.5000 0.5000
Al1 0.0000 0.0000 0.5000
Hg1 0.0000 0.5000 0.0000
Hg2 0.5000 0.0000 0.0000

=====

# ZrTc2Sb meta-GGA SCAN single point on PBEsol structure
# Volume ... 17.11 Å³ per atom
# DOS at the Fermi energy ... 3.54 states/eV per cell
# Raw total energy ... -34.422 eV per atom
# ΔE_f (raw) ... 0.4 eV per formula unit
data_ZrTc2Sb
_chemical_formula_sum 'Zr1 Tc2 Sb1'
_cell_length_a 4.5917
_cell_length_b 4.5917
_cell_length_c 4.5917
_cell_angle_alpha 60.00
_cell_angle_beta 60.00
_cell_angle_gamma 60.00
_space_group_name_H-M_alt 'P 1'
_space_group_IT_number 1
loop_
_space_group_symop_operation_xyz
'x,y,z'
loop_
_atom_site_label
_atom_site_fract_x
_atom_site_fract_y
_atom_site_fract_z
Zr1 0.0000 0.0000 0.0000
Tc1 0.2500 0.2500 0.2500
Tc2 0.5000 0.5000 0.5000
Sb1 0.7500 0.7500 0.7500